# YFe2P, relaxed, DFT GGA-PBE
data_YFe2P
_cell_length_a 2.905
_cell_length_b 2.905
_cell_length_c 6.757
_cell_angle_alpha 90.00
_cell_angle_beta 90.00
_cell_angle_gamma 89.97
_symmetry_space_group_name_H-M 'P 1'
_symmetry_Int_Tables_number 1
_symmetry_space_group_name_Hall 'P 1'
loop_
_atom_site_label
_atom_site_fract_x
_atom_site_fract_y
_atom_site_fract_z
Y1 0.500 0.500 0.750
Fe1 0.000 0.000 0.071
Fe2 0.000 0.000 0.429
P1 0.500 0.500 0.250
# DOS(E_F) (states/eV per atom): 1.093
# VASP energy (eV/atom): -7.221
# Magnetic moment (μB per atom): 0.294
# SG: No. 123